1.
Density functional theory data (PBE) for a relaxed Tl4Hg3F10 crystal.

```
Tl4Hg3F10
1.0
-1.016 4.169 -1.764
-2.306 1.079 3.879
15.025 3.299 5.241
Tl Hg F
4 3 10
direct
0.570 0.570 0.140
0.430 0.430 0.860
0.297 0.297 0.594
0.703 0.703 0.406
0.145 0.145 0.289
0.855 0.855 0.711
0.000 0.000 0.000
0.141 0.641 0.282
0.072 0.072 0.144
0.641 0.141 0.282
0.859 0.359 0.718
0.359 0.859 0.718
0.928 0.928 0.856
0.216 0.216 0.433
0.784 0.784 0.567
0.000 0.500 0.000
0.500 0.000 0.000
```

Output
Raw formation energy ... -1.583 eV/atom
Space group ... I4/mmm, No. 139
Total magnetic moment ... 0.0 μB per formula unit

=====

2.
Density functional theory data (PBE) for a relaxed CrIn2SnPt crystal.

```
CrIn2SnPt
1.0
-3.111 -2.198 3.447
-2.214 -2.400 -3.529
3.334 -3.871 0.541
Cr Sn Pt In
1 1 1 2
direct
0.000 0.500 0.000
0.500 0.500 0.500
0.000 0.000 0.000
0.000 0.000 0.500
0.500 0.000 0.000
```

Output
Space group ... P4/mmm, No. 123
Total magnetic moment ... 0.1 μB per formula unit
DFT formation energy ... 0.585 eV per atom

=====

3.
Density functional theory data (PBE) for a relaxed Y2Pd5Pb crystal.

```
Y2Pd5Pb
1.0
-3.192 -2.174 4.975
2.846 -5.582 -0.641
3.065 5.069 0.220
Y Pd Pb
2 5 1
direct
0.237 0.736 0.473
0.736 0.237 0.473
0.702 0.253 0.955
0.253 0.253 0.952
0.701 0.701 0.955
0.253 0.702 0.955
0.746 0.746 0.493
0.149 0.149 0.300
```

Output
Space group ... Cm, No. 8
Total magnetic moment ... 0.0 μB per formula unit
DFT formation energy ... -0.680 eV per atom

=====

4.
Density functional theory data (PBE) for a relaxed Ti2AlCo2 crystal.

```
Ti2AlCo2
1.0
6.813 0.000 0.000
0.000 6.813 0.000
0.000 0.000 2.962
Co Al Ti
4 2 4
direct
0.367 0.867 0.000
0.867 0.633 0.000
0.633 0.133 0.000
0.133 0.367 0.000
0.000 0.000 0.000
0.500 0.500 0.000
0.167 0.667 0.500
0.667 0.833 0.500
0.833 0.333 0.500
0.333 0.167 0.500
```

Output
Space group ... P4/mbm, No. 127
Total magnetic moment ... 0.0 μB per formula unit
DFT formation energy ... -0.426 eV per atom